## Ce6ThPb (PBE)

Data for crystalline Ce6ThPb at its relaxed geometry.

Cell and atoms, written as extended XYZ:
```
8
Lattice="-2.6609 2.5546 3.0515 1.0479 -3.0914 3.5019 7.8924 5.3746 2.3828" Properties=species:S:1:pos:R:3 pbc="T T T"
Ce 3.1397 2.4189 4.4681
Ce 6.4334 2.4786 3.5351
Ce -0.8065 -0.2684 3.2767
Ce 2.5070 -0.1953 2.3496
Ce 4.5790 5.3016 3.3099
Ce 0.6525 2.6277 2.1244
Th 3.9462 2.6873 1.1914
Pb 0.0000 0.0000 0.0000
```

M_tot in μB/f.u.: 3.598
Formation energy from the elements in eV per atom: -0.104
SG: P4/mmm, No. 123
Energy in eV/atom: -5.946